[1]
## TiNi2Pd (PBE)

Data for crystalline TiNi2Pd at its relaxed geometry.

## Properties
formation energy: -0.454 eV per atom
SG: Pmmn
N(E_F): 1.65 states/eV/f.u.
raw total energy: -6.617 eV/atom

Unit cell a=4.242 b=4.616 c=5.312 alpha=90.00 beta=90.00 gamma=90.00
Fractional coordinates of all 8 atoms:
Ni: 0.500 0.163 0.748
Ti: 0.500 0.678 0.500
Ni: 0.000 0.837 0.752
Ti: 0.000 0.322 0.000
Pd: 0.500 0.676 0.000
Pd: 0.000 0.324 0.500
Ni: 0.500 0.163 0.252
Ni: 0.000 0.837 0.248

[2]
## Ti6Ni8Pd (PBE)

Data for crystalline Ti6Ni8Pd at its relaxed geometry.

## Properties
formation energy: -0.202 eV per atom
SG: R-3
N(E_F): 15.38 states/eV/f.u.
raw total energy: -6.790 eV/atom

Unit cell a=6.910 b=6.910 c=6.434 alpha=57.52 beta=57.52 gamma=60.00
Fractional coordinates of all 15 atoms:
Ni: 0.156 0.891 0.356
Ti: 0.876 0.350 0.171
Ni: 0.259 0.259 0.222
Ti: 0.603 0.876 0.171
Ni: 0.741 0.741 0.778
Ni: 0.844 0.109 0.644
Ni: 0.596 0.156 0.356
Ti: 0.350 0.603 0.171
Ni: 0.404 0.844 0.644
Pd: 0.000 0.000 0.000
Ti: 0.124 0.650 0.829
Ti: 0.650 0.397 0.829
Ni: 0.109 0.404 0.644
Ti: 0.397 0.124 0.829
Ni: 0.891 0.596 0.356

[3]
## TiNi2Pd3 (PBE)

Data for crystalline TiNi2Pd3 at its relaxed geometry.

## Properties
formation energy: -0.359 eV per atom
SG: Cmmm
N(E_F): 5.85 states/eV/f.u.
raw total energy: -6.199 eV/atom

Unit cell a=3.740 b=3.869 c=11.485 alpha=90.00 beta=90.00 gamma=90.00
Fractional coordinates of all 12 atoms:
Ni: 0.000 0.750 0.587
Pd: 0.500 0.250 0.918
Pd: 0.500 0.250 0.582
Ni: 0.000 0.250 0.087
Ni: 0.000 0.750 0.913
Ti: 0.000 0.250 0.750
Pd: 0.500 0.250 0.250
Ni: 0.000 0.250 0.413
Pd: 0.500 0.750 0.082
Ti: 0.000 0.750 0.250
Pd: 0.500 0.750 0.750
Pd: 0.500 0.750 0.418

[4]
## Ti2Ni5Pd (PBE)

Data for crystalline Ti2Ni5Pd at its relaxed geometry.

## Properties
formation energy: -0.216 eV per atom
SG: Immm
N(E_F): 7.36 states/eV/f.u.
raw total energy: -6.452 eV/atom

Unit cell a=2.648 b=6.401 c=6.401 alpha=76.20 beta=78.06 gamma=78.06
Fractional coordinates of all 8 atoms:
Ti: 0.253 0.247 0.247
Ni: 0.000 0.500 0.500
Pd: 0.000 0.000 0.000
Ni: 0.372 0.401 0.855
Ni: 0.628 0.599 0.145
Ti: 0.747 0.753 0.753
Ni: 0.372 0.855 0.401
Ni: 0.628 0.145 0.599

[5]
## Ti2NiPd3 (PBE)

Data for crystalline Ti2NiPd3 at its relaxed geometry.

## Properties
formation energy: -0.416 eV per atom
SG: C2/m
N(E_F): 5.74 states/eV/f.u.
raw total energy: -6.608 eV/atom

Unit cell a=3.799 b=6.288 c=8.871 alpha=115.90 beta=90.00 gamma=107.58
Fractional coordinates of all 12 atoms:
Ni: 0.121 0.241 0.111
Ti: 0.779 0.557 0.132
Ti: 0.221 0.443 0.868
Pd: 0.294 0.587 0.632
Pd: 0.706 0.413 0.368
Ni: 0.879 0.759 0.889
Ti: 0.525 0.050 0.861
Pd: 0.370 0.740 0.361
Pd: 0.036 0.073 0.360
Ti: 0.475 0.950 0.139
Pd: 0.630 0.260 0.639
Pd: 0.964 0.927 0.640

[6]
## TiNi2Pd6 (PBE)

Data for crystalline TiNi2Pd6 at its relaxed geometry.

## Properties
formation energy: -0.253 eV per atom
SG: C2/m
N(E_F): 12.12 states/eV/f.u.
raw total energy: -5.877 eV/atom

Unit cell a=3.916 b=4.699 c=8.225 alpha=71.95 beta=76.23 gamma=65.38
Site moments in Bohr magnetons follow the coordinates.
Fractional coordinates of all 9 atoms:
Pd: 0.334 0.939 0.393  0.04
Pd: 0.000 0.180 0.821  0.07
Pd: 0.332 0.280 0.056  0.07
Pd: 0.000 0.820 0.179  0.07
Ti: 0.000 0.500 0.500  -0.10
Pd: 0.666 0.061 0.607  0.04
Pd: 0.668 0.720 0.944  0.07
Ni: 0.665 0.389 0.280  0.32
Ni: 0.335 0.611 0.720  0.32

[7]
## Ti2Ni3Pd (PBE)

Data for crystalline Ti2Ni3Pd at its relaxed geometry.

## Properties
formation energy: -0.241 eV per atom
SG: I4_1/amd
N(E_F): 5.90 states/eV/f.u.
E above lowest polymorph: 1.77 kcal/mol of atoms
raw total energy: -6.629 eV/atom

Unit cell a=8.169 b=8.169 c=7.661 alpha=122.22 beta=122.22 gamma=90.00
Fractional coordinates of all 24 atoms:
Ti: 0.287 0.108 0.216
Ni: 0.728 0.728 0.000
Ti: 0.358 0.037 0.716
Ti: 0.963 0.642 0.284
Pd: 0.648 0.648 0.297
Ni: 0.272 0.272 0.000
Ni: 0.978 0.478 0.500
Ni: 0.272 0.728 0.000
Ni: 0.125 0.375 0.250
Ni: 0.125 0.875 0.250
Pd: 0.898 0.398 0.797
Ni: 0.522 0.478 0.500
Ni: 0.522 0.022 0.500
Ni: 0.125 0.875 0.750
Pd: 0.352 0.352 0.703
Ni: 0.625 0.875 0.750
Ti: 0.892 0.070 0.784
Ni: 0.728 0.272 0.000
Ti: 0.892 0.713 0.784
Pd: 0.602 0.102 0.203
Ti: 0.358 0.680 0.716
Ti: 0.930 0.108 0.216
Ti: 0.320 0.642 0.284
Ni: 0.978 0.022 0.500

[8]
## Ti2Ni4Pd3 (PBE)

Data for crystalline Ti2Ni4Pd3 at its relaxed geometry.

## Properties
formation energy: -0.394 eV per atom
SG: C2/m
N(E_F): 8.00 states/eV/f.u.
raw total energy: -6.449 eV/atom

Unit cell a=4.623 b=3.779 c=8.803 alpha=64.53 beta=63.97 gamma=65.86
Fractional coordinates of all 9 atoms:
Ni: 0.332 0.229 0.105
Ni: 0.668 0.771 0.895
Ni: 0.011 0.666 0.328
Pd: 0.670 0.104 0.561
Ti: 0.660 0.452 0.218
Ti: 0.340 0.548 0.782
Ni: 0.989 0.334 0.672
Pd: 0.330 0.896 0.439
Pd: 0.000 0.000 0.000